Model i:
# PBE Er6Pd5Au, optimized geometry
data_Er6Pd5Au
_chemical_formula_sum 'Er12 Pd10 Au2'
_symmetry_space_group_name_H-M 'C m m m'
_symmetry_Int_Tables_number 65
_symmetry_space_group_name_Hall '-C 2 2'
_cell_length_a 4.9370
_cell_length_b 14.7626
_cell_length_c 7.0329
_cell_angle_alpha 90.00
_cell_angle_beta 90.00
_cell_angle_gamma 90.00
loop_
_atom_site_label
_atom_site_type_symbol
_atom_site_fract_x
_atom_site_fract_y
_atom_site_fract_z
Er1 Er 0.0000 0.0000 0.2467
Er2 Er 0.0000 0.3323 0.2484
Pd1 Pd 0.0000 0.1655 0.0000
Pd2 Pd 0.0000 0.1694 0.5000
Pd3 Pd 0.0000 0.5000 0.0000
Au1 Au 0.0000 0.5000 0.5000
# V ... 513 Å³ per cell
# Spin magnetization ... 0.00 μB per cell

Model ii:
# PBE Er6Pd5Au, optimized geometry
data_Er6Pd5Au
_chemical_formula_sum 'Er12 Pd10 Au2'
_symmetry_space_group_name_H-M 'C 1 2/m 1'
_symmetry_Int_Tables_number 12
_cell_length_a 7.1412
_cell_length_b 11.4676
_cell_length_c 7.1446
_cell_angle_alpha 90.00
_cell_angle_beta 105.61
_cell_angle_gamma 90.00
loop_
_symmetry_equiv_pos_as_xyz
'x,y,z'
'-x,-y,-z'
'-x,y,-z'
'x,-y,z'
'x+1/2,y+1/2,z'
'-x+1/2,-y+1/2,-z'
'-x+1/2,y+1/2,-z'
'x+1/2,-y+1/2,z'
loop_
_atom_site_label
_atom_site_type_symbol
_atom_site_fract_x
_atom_site_fract_y
_atom_site_fract_z
Er1 Er 0.2121 0.0000 0.2137
Er2 Er 0.2291 0.1736 0.7244
Pd1 Pd 0.0000 0.0000 0.5000
Pd2 Pd 0.0000 0.1907 0.0000
Pd3 Pd 0.0000 0.3673 0.5000
Au1 Au 0.0000 0.5000 0.0000
# V ... 563 Å³ per cell
# Spin magnetization ... 0.00 μB per cell

Most stable pick: model i. Distance to second place: 0.149 eV/atom.

Model i:
# PBE ErPdAu6, optimized geometry
data_ErPdAu6
_chemical_formula_sum 'Er2 Pd2 Au12'
_symmetry_space_group_name_H-M 'A m m 2'
_symmetry_Int_Tables_number 38
_cell_length_a 4.7876
_cell_length_b 6.0024
_cell_length_c 10.3605
_cell_angle_alpha 90.00
_cell_angle_beta 90.00
_cell_angle_gamma 90.00
loop_
_symmetry_equiv_pos_as_xyz
'x,y,z'
'-x,-y,z'
'-x,y,z'
'x,-y,z'
'x,y+1/2,z+1/2'
'-x,-y+1/2,z+1/2'
'-x,y+1/2,z+1/2'
'x,-y+1/2,z+1/2'
loop_
_atom_site_label
_atom_site_type_symbol
_atom_site_fract_x
_atom_site_fract_y
_atom_site_fract_z
Er1 Er 0.0000 0.0000 0.0000
Pd1 Pd 0.5000 0.0000 0.3322
Au1 Au 0.0000 0.0000 0.4966
Au2 Au 0.0000 0.2460 0.2512
Au3 Au 0.5000 0.0000 0.8296
Au4 Au 0.5000 0.2447 0.5842
# V ... 298 Å³ per cell
# Spin magnetization ... 0.00 μB per cell

Model ii:
# PBE ErPdAu6, optimized geometry
data_ErPdAu6
_chemical_formula_sum 'Er2 Pd2 Au12'
_symmetry_space_group_name_H-M 'C 1 2/m 1'
_symmetry_Int_Tables_number 12
_cell_length_a 9.2763
_cell_length_b 4.2292
_cell_length_c 8.5285
_cell_angle_alpha 90.00
_cell_angle_beta 117.47
_cell_angle_gamma 90.00
loop_
_symmetry_equiv_pos_as_xyz
'x,y,z'
'-x,-y,-z'
'-x,y,-z'
'x,-y,z'
'x+1/2,y+1/2,z'
'-x+1/2,-y+1/2,-z'
'-x+1/2,y+1/2,-z'
'x+1/2,-y+1/2,z'
loop_
_atom_site_label
_atom_site_type_symbol
_atom_site_fract_x
_atom_site_fract_y
_atom_site_fract_z
Er1 Er 0.0000 0.0000 0.0000
Pd1 Pd 0.0000 0.0000 0.5000
Au1 Au 0.0046 0.5000 0.7467
Au2 Au 0.2472 0.0000 0.3806
Au3 Au 0.2474 0.0000 0.8648
# V ... 297 Å³ per cell
# Spin magnetization ... 0.00 μB per cell

Most stable pick: model ii. Distance to second place: 0.038 eV/atom.